## KMnNi (PBE-GGA)

Data for a relaxed structure of KMnNi.

Values from the calculation:
Energy of formation from the pure elements (kJ/mol of formula units): 377
Calculated volume (Å³ per cell): 265.3
Total DFT energy (no corrections) (eV per atom): -4.046
N(E_F) (states/eV per atom): 1.008
Excess energy over the best structure of this formula in the dataset (eV per atom): 0.9416
Space group: P6_3/mmc (194)

abc: 5.812 5.812 9.068
angles: 90.00 90.00 120.00
Fractional positions:
K (0.333, 0.667, 0.250)
K (0.667, 0.333, 0.750)
Mn (0.000, 0.000, 0.250)
Mn (0.000, 0.000, 0.750)
Ni (0.000, 0.000, 0.000)
Ni (0.000, 0.000, 0.500)

## Tb7Sb2C2 (PBE-GGA)

Data for a relaxed structure of Tb7Sb2C2.

Values from the calculation:
Calculated volume (Å³ per cell): 272.2
Total DFT energy (no corrections) (eV per atom): -5.732
N(E_F) (states/eV per atom): 0.762
Space group: Imm2 (44)

abc: 9.484 9.484 9.484
angles: 158.67 66.36 118.00
Fractional positions:
Tb (0.000, 0.000, 0.000)
Tb (0.046, 0.706, 0.340)
Tb (0.071, 0.379, 0.692)
Tb (0.366, 0.706, 0.660)
Tb (0.438, 0.575, 0.863)
Tb (0.688, 0.379, 0.308)
Tb (0.712, 0.575, 0.137)
Sb (0.326, 0.326, 0.000)
Sb (0.737, 0.237, 0.500)
C (0.393, 0.132, 0.261)
C (0.871, 0.132, 0.739)

## ScHg2Mo (PBE-GGA)

Data for a relaxed structure of ScHg2Mo.

Values from the calculation:
Energy of formation from the pure elements (kJ/mol of formula units): 95
Calculated volume (Å³ per cell): 79.2
Total DFT energy (no corrections) (eV per atom): -4.196
N(E_F) (states/eV per atom): 0.717
Excess energy over the best structure of this formula in the dataset (eV per atom): 0.1239
Space group: Fm-3m (225)

abc: 4.821 4.821 4.821
angles: 60.00 60.00 60.00
Fractional positions:
Sc (0.000, 0.000, 0.000)
Hg (0.250, 0.250, 0.250)
Hg (0.750, 0.750, 0.750)
Mo (0.500, 0.500, 0.500)

What did the first record say?
## KMnNi (PBE-GGA)

Data for a relaxed structure of KMnNi.

Values from the calculation:
Energy of formation from the pure elements (kJ/mol of formula units): 377
Calculated volume (Å³ per cell): 265.3
Total DFT energy (no corrections) (eV per atom): -4.046
N(E_F) (states/eV per atom): 1.008
Excess energy over the best structure of this formula in the dataset (eV per atom): 0.9416
Space group: P6_3/mmc (194)

abc: 5.812 5.812 9.068
angles: 90.00 90.00 120.00
Fractional positions:
K (0.333, 0.667, 0.250)
K (0.667, 0.333, 0.750)
Mn (0.000, 0.000, 0.250)
Mn (0.000, 0.000, 0.750)
Ni (0.000, 0.000, 0.000)
Ni (0.000, 0.000, 0.500)

- calculated volume of number 1 (KMnNi)?
  265.3 Å³ per cell